Here is a relaxed structure of BeRhSe2 from the Alexandria database. Energies are from PBE-GGA.

Values from the calculation:
Crystal system: cubic
Total energy (eV per cell): -15.99
Formation energy (no corrections) (meV per atom): 514

Cell and atoms, written as POSCAR:
```
BeRhSe2
1.0
4.4604 0.0000 0.0000
2.2302 3.8628 0.0000
2.2302 1.2876 3.6419
Be Rh Se
1 1 2
Direct
0.5000 0.5000 0.5000 Be
0.7500 0.7500 0.7500 Rh
0.0000 0.0000 0.0000 Se
0.2500 0.2500 0.2500 Se
```